Entry 1:
The following is a DFT calculation (meta-GGA SCAN) of MgBePb at its PBEsol-relaxed geometry.

Computed properties:
ΔH_f (0 K) (eV/atom): 0.354
Mass density (kg/m3): 6472
Calculated total energy (eV/atom): -28.0152

extended XYZ file:
```
3
Lattice="3.3835 0.0000 0.0000 -1.6917 2.9302 0.0000 0.0000 0.0000 6.2245" Properties=species:S:1:pos:R:3 pbc="T T T"
Mg 0.0000 0.0000 0.0000
Be 0.0000 1.9534 1.8352
Pb 1.6917 0.9767 3.6512
```

***

Entry 2:
The following is a DFT calculation (meta-GGA SCAN) of Mg4BePb at its PBEsol-relaxed geometry.

Computed properties:
ΔH_f (0 K) (eV/atom): 0.363
Mass density (kg/m3): 3914
Calculated total energy (eV/atom): -16.3083

extended XYZ file:
```
6
Lattice="0.0000 4.0512 4.0512 4.0512 0.0000 4.0512 4.0512 4.0512 0.0000" Properties=species:S:1:pos:R:3 pbc="T T T"
Mg 1.0090 1.0090 1.0090
Mg 3.0422 3.0422 1.0090
Mg 3.0422 1.0090 3.0422
Mg 1.0090 3.0422 3.0422
Be 6.0768 6.0768 6.0768
Pb 4.0512 4.0512 4.0512
```

***

Entry 3:
The following is a DFT calculation (meta-GGA SCAN) of MgBe2Pd2 at its PBEsol-relaxed geometry.

Computed properties:
ΔH_f (0 K) (eV/atom): -0.654
Mass density (kg/m3): 6895
Calculated total energy (eV/atom): -16.5004

extended XYZ file:
```
10
Lattice="6.6556 0.0000 0.0000 0.0000 6.6556 0.0000 0.0000 0.0000 2.7746" Properties=species:S:1:pos:R:3 pbc="T T T"
Mg 0.0000 0.0000 0.0000
Mg 3.3278 3.3278 0.0000
Be 0.8015 2.5263 0.0000
Be 2.5263 5.8541 0.0000
Be 4.1293 0.8015 0.0000
Be 5.8541 4.1293 0.0000
Pd 1.1340 4.4618 1.3873
Pd 2.1938 1.1340 1.3873
Pd 4.4618 5.5216 1.3873
Pd 5.5216 2.1938 1.3873
```

***

Entry 4:
The following is a DFT calculation (meta-GGA SCAN) of Mg3BePd at its PBEsol-relaxed geometry.

Computed properties:
ΔH_f (0 K) (eV/atom): 0.370
Mass density (kg/m3): 3263
Calculated total energy (eV/atom): -10.0401

extended XYZ file:
```
5
Lattice="4.5766 0.0000 0.0000 0.0000 4.5766 0.0000 0.0000 0.0000 4.5766" Properties=species:S:1:pos:R:3 pbc="T T T"
Mg 0.0000 0.0000 2.2883
Mg 0.0000 2.2883 0.0000
Mg 2.2883 0.0000 0.0000
Be 0.0000 0.0000 0.0000
Pd 2.2883 2.2883 2.2883
```

***

Entry 5:
The following is a DFT calculation (meta-GGA SCAN) of Mg2BePt at its PBEsol-relaxed geometry.

Computed properties:
ΔH_f (0 K) (eV/atom): -0.531
Mass density (kg/m3): 6585
Calculated total energy (eV/atom): -21.6546

extended XYZ file:
```
4
Lattice="3.0426 0.0000 0.0000 0.0000 3.0426 0.0000 0.0000 0.0000 6.8832" Properties=species:S:1:pos:R:3 pbc="T T T"
Mg 0.0000 0.0000 0.0000
Mg 1.5213 1.5213 2.3378
Be 1.5213 1.5213 5.0394
Pt 0.0000 0.0000 4.1397
```

***

Entry 6:
The following is a DFT calculation (meta-GGA SCAN) of Mg2BePt2 at its PBEsol-relaxed geometry.

Computed properties:
ΔH_f (0 K) (eV/atom): -0.845
Mass density (kg/m3): 9677
Calculated total energy (eV/atom): -31.7820

extended XYZ file:
```
10
Lattice="5.9619 0.0000 0.0000 0.0000 5.9619 0.0000 0.0000 0.0000 4.3234" Properties=species:S:1:pos:R:3 pbc="T T T"
Mg 0.9885 1.9925 0.0000
Mg 1.9925 4.9735 0.0000
Mg 3.9695 0.9885 0.0000
Mg 4.9735 3.9695 0.0000
Be 0.0000 0.0000 2.1617
Be 2.9810 2.9810 2.1617
Pt 0.9185 3.8995 2.1617
Pt 2.0625 0.9185 2.1617
Pt 3.8995 5.0435 2.1617
Pt 5.0435 2.0625 2.1617
```

***

Entry 7:
The following is a DFT calculation (meta-GGA SCAN) of MgBe4Pt at its PBEsol-relaxed geometry.

Computed properties:
ΔH_f (0 K) (eV/atom): -0.582
Mass density (kg/m3): 7026
Calculated total energy (eV/atom): -16.0126

extended XYZ file:
```
6
Lattice="0.0000 3.1136 3.1136 3.1136 0.0000 3.1136 3.1136 3.1136 0.0000" Properties=species:S:1:pos:R:3 pbc="T T T"
Mg 0.0000 0.0000 0.0000
Be 3.8868 2.3405 2.3405
Be 2.3405 3.8868 2.3405
Be 2.3405 2.3405 3.8868
Be 3.8868 3.8868 3.8868
Pt 1.5568 1.5568 1.5568
```

***

Entry 8:
The following is a DFT calculation (meta-GGA SCAN) of MgBe2Re at its PBEsol-relaxed geometry.

Computed properties:
ΔH_f (0 K) (eV/atom): 0.125
Mass density (kg/m3): 8008
Calculated total energy (eV/atom): -21.0693

extended XYZ file:
```
4
Lattice="2.9338 -2.9557 0.0000 2.9338 2.9557 0.0000 0.0000 0.0000 2.7326" Properties=species:S:1:pos:R:3 pbc="T T T"
Mg 0.0000 0.0000 0.0000
Be 1.4669 1.4778 1.3663
Be 1.4669 -1.4778 1.3663
Re 2.9338 0.0000 0.0000
```

***

Entry 9:
The following is a DFT calculation (meta-GGA SCAN) of MgBeRe at its PBEsol-relaxed geometry.

Computed properties:
ΔH_f (0 K) (eV/atom): 0.306
Mass density (kg/m3): 8732
Calculated total energy (eV/atom): -26.5027

extended XYZ file:
```
3
Lattice="-1.3146 1.3146 6.0385 1.3146 -1.3146 6.0385 1.3146 1.3146 -6.0385" Properties=species:S:1:pos:R:3 pbc="T T T"
Mg 0.0000 0.0000 0.0000
Be 0.0000 0.0000 3.9634
Re 0.0000 0.0000 8.3181
```

***

Entry 10:
The following is a DFT calculation (meta-GGA SCAN) of Mg2BeRe at its PBEsol-relaxed geometry.

Computed properties:
ΔH_f (0 K) (eV/atom): 0.251
Mass density (kg/m3): 6571
Calculated total energy (eV/atom): -21.0984

extended XYZ file:
```
4
Lattice="1.6402 -2.1770 0.0000 1.6402 2.1770 0.0000 0.0000 0.0000 8.6282" Properties=species:S:1:pos:R:3 pbc="T T T"
Mg 0.0000 0.0000 0.0000
Mg 1.6402 0.0000 2.6780
Be 0.0000 0.0000 4.7354
Re 1.6402 0.0000 6.4076
```

***

Entry 11:
The following is a DFT calculation (meta-GGA SCAN) of MgBe3Re at its PBEsol-relaxed geometry.

Computed properties:
ΔH_f (0 K) (eV/atom): 1.852
Mass density (kg/m3): 6122
Calculated total energy (eV/atom): -15.9744

extended XYZ file:
```
5
Lattice="4.0090 0.0000 0.0000 0.0000 4.0090 0.0000 0.0000 0.0000 4.0090" Properties=species:S:1:pos:R:3 pbc="T T T"
Mg 0.0000 0.0000 0.0000
Be 0.0000 0.0000 2.0045
Be 0.0000 2.0045 0.0000
Be 2.0045 0.0000 0.0000
Re 2.0045 2.0045 2.0045
```

***

Entry 12:
The following is a DFT calculation (meta-GGA SCAN) of MgBe2Re at its PBEsol-relaxed geometry.

Computed properties:
ΔH_f (0 K) (eV/atom): 0.158
Mass density (kg/m3): 7968
Calculated total energy (eV/atom): -21.0362

extended XYZ file:
```
4
Lattice="-1.3500 2.0691 4.2624 1.3500 -2.0691 4.2624 1.3500 2.0691 -4.2624" Properties=species:S:1:pos:R:3 pbc="T T T"
Mg 0.0000 0.0000 0.0000
Be 0.0000 0.0000 4.5252
Be 0.0000 2.0691 2.0500
Re 1.3500 0.0000 2.3903
```

***

Entry 13:
The following is a DFT calculation (meta-GGA SCAN) of Mg4BeRe at its PBEsol-relaxed geometry.

Computed properties:
ΔH_f (0 K) (eV/atom): 0.897
Mass density (kg/m3): 4686
Calculated total energy (eV/atom): -14.9938

extended XYZ file:
```
6
Lattice="0.0000 3.7282 3.7282 3.7282 0.0000 3.7282 3.7282 3.7282 0.0000" Properties=species:S:1:pos:R:3 pbc="T T T"
Mg 0.9247 0.9247 0.9247
Mg 2.8035 2.8035 0.9247
Mg 2.8035 0.9247 2.8035
Mg 0.9247 2.8035 2.8035
Be 3.7282 3.7282 3.7282
Re 5.5923 5.5923 5.5923
```

***

Entry 14:
The following is a DFT calculation (meta-GGA SCAN) of MgBe2Re at its PBEsol-relaxed geometry.

Computed properties:
ΔH_f (0 K) (eV/atom): 0.261
Mass density (kg/m3): 7762
Calculated total energy (eV/atom): -20.9334

extended XYZ file:
```
4
Lattice="2.7404 0.0000 0.0000 0.0000 2.7404 0.0000 0.0000 0.0000 6.5101" Properties=species:S:1:pos:R:3 pbc="T T T"
Mg 0.0000 0.0000 0.0000
Be 0.0000 0.0000 3.6404
Be 1.3702 1.3702 4.6255
Re 1.3702 1.3702 2.1271
```

***

Entry 15:
The following is a DFT calculation (meta-GGA SCAN) of Mg2BeZnRe at its PBEsol-relaxed geometry.

Computed properties:
ΔH_f (0 K) (eV/atom): 0.649
Mass density (kg/m3): 6221
Calculated total energy (eV/atom): -19.1337

extended XYZ file:
```
5
Lattice="4.4203 0.0000 0.0000 0.0000 4.4203 0.0000 0.0000 0.0000 4.2244" Properties=species:S:1:pos:R:3 pbc="T T T"
Mg 0.0000 2.2102 0.0000
Mg 2.2102 0.0000 0.0000
Be 0.0000 0.0000 0.0000
Zn 2.2102 2.2102 2.1122
Re 0.0000 0.0000 2.1122
```

***

Entry 16:
The following is a DFT calculation (meta-GGA SCAN) of Mg2BeRh at its PBEsol-relaxed geometry.

Computed properties:
ΔH_f (0 K) (eV/atom): -0.201
Mass density (kg/m3): 4622
Calculated total energy (eV/atom): -12.2186

extended XYZ file:
```
4
Lattice="3.9402 0.0000 0.0000 0.0000 3.9402 0.0000 0.0000 0.0000 3.7148" Properties=species:S:1:pos:R:3 pbc="T T T"
Mg 0.0000 1.9701 0.0000
Mg 1.9701 0.0000 0.0000
Be 0.0000 0.0000 1.8574
Rh 1.9701 1.9701 1.8574
```

***

Entry 17:
The following is a DFT calculation (meta-GGA SCAN) of Mg2BeRh2 at its PBEsol-relaxed geometry.

Computed properties:
ΔH_f (0 K) (eV/atom): -0.531
Mass density (kg/m3): 5956
Calculated total energy (eV/atom): -16.9002

extended XYZ file:
```
10
Lattice="5.9876 0.0000 0.0000 0.0000 5.9876 0.0000 0.0000 0.0000 4.0971" Properties=species:S:1:pos:R:3 pbc="T T T"
Mg 0.9910 2.0027 0.0000
Mg 2.0027 4.9965 0.0000
Mg 3.9848 0.9910 0.0000
Mg 4.9965 3.9848 0.0000
Be 0.0000 0.0000 2.0485
Be 2.9938 2.9938 2.0485
Rh 0.9015 3.8953 2.0485
Rh 2.0922 0.9015 2.0485
Rh 3.8953 5.0860 2.0485
Rh 5.0860 2.0922 2.0485
```

***

Entry 18:
The following is a DFT calculation (meta-GGA SCAN) of Mg2BeRh at its PBEsol-relaxed geometry.

Computed properties:
ΔH_f (0 K) (eV/atom): -0.438
Mass density (kg/m3): 4320
Calculated total energy (eV/atom): -12.4557

extended XYZ file:
```
4
Lattice="2.9830 0.0000 0.0000 0.0000 2.9830 0.0000 0.0000 0.0000 6.9340" Properties=species:S:1:pos:R:3 pbc="T T T"
Mg 0.0000 0.0000 0.0000
Mg 1.4915 1.4915 2.4358
Be 1.4915 1.4915 5.0727
Rh 0.0000 0.0000 4.2105
```

***

Entry 19:
The following is a DFT calculation (meta-GGA SCAN) of MgBe2Rh at its PBEsol-relaxed geometry.

Computed properties:
ΔH_f (0 K) (eV/atom): -0.292
Mass density (kg/m3): 5223
Calculated total energy (eV/atom): -12.1547

extended XYZ file:
```
4
Lattice="3.9329 0.0000 0.0000 0.0000 3.9329 0.0000 0.0000 0.0000 2.9850" Properties=species:S:1:pos:R:3 pbc="T T T"
Mg 0.0000 0.0000 0.0000
Be 0.0000 1.9665 1.4925
Be 1.9665 0.0000 1.4925
Rh 1.9665 1.9665 0.0000
```

***

Entry 20:
The following is a DFT calculation (meta-GGA SCAN) of MgBeRh at its PBEsol-relaxed geometry.

Computed properties:
ΔH_f (0 K) (eV/atom): -0.597
Mass density (kg/m3): 5671
Calculated total energy (eV/atom): -14.9629

extended XYZ file:
```
3
Lattice="-1.4808 1.4808 4.5474 1.4808 -1.4808 4.5474 1.4808 1.4808 -4.5474" Properties=species:S:1:pos:R:3 pbc="T T T"
Mg 0.0000 0.0000 0.0000
Be 0.0000 0.0000 2.6493
Rh 0.0000 0.0000 6.3268
```